Here is a geometry-optimized Ca2ZrRh structure from the Alexandria database. Energies are from PBEsol.

Properties
The excess energy over the best structure of this formula in the dataset is 0.58 eV/f.u. For the theoretical density, the calculation gives 5.2 g/cm3.

Unit cell a=5.6442 b=9.9042 c=3.1357 alpha=90.00 beta=90.00 gamma=90.00
Space group Cmmm (No. 65)
Inequivalent atoms, fractional coordinates:
Ca: 0.2500 0.2500 0.0000 [4 per cell]
Zr: 0.0000 0.0000 0.5000 [2 per cell]
Rh: 0.0000 0.5000 0.5000 [2 per cell]



Here is a geometry-optimized BeIr3 structure from the Alexandria database. Energies are from PBEsol.

Properties
The value obtained for the total energy is -8.3959 eV per atom. For the theoretical density, the calculation gives 18.6 g/cm3.

Unit cell a=3.7200 b=3.7200 c=15.1342 alpha=90.00 beta=90.00 gamma=90.00
Space group I4/mmm (No. 139)
Inequivalent atoms, fractional coordinates:
Be: 0.0000 0.0000 0.1123 [4 per cell]
Ir: 0.0000 0.0000 0.3726 [4 per cell]
Ir: 0.0000 0.5000 0.0000 [4 per cell]
Ir: 0.0000 0.5000 0.2500 [4 per cell]



Here is a geometry-optimized BeCdTc structure from the Alexandria database. Energies are from PBEsol.

Properties
The excess energy over the best structure of this formula in the dataset is 0.12 eV/f.u. For the theoretical density, the calculation gives 8.5 g/cm3.

Unit cell a=2.7526 b=2.7526 c=6.5222 alpha=90.00 beta=90.00 gamma=120.00
Space group P3m1 (No. 156)
Inequivalent atoms, fractional coordinates:
Be: 0.0000 0.0000 0.0000 [1 per cell]
Cd: 0.3333 0.6667 0.6553 [1 per cell]
Tc: 0.6667 0.3333 0.2781 [1 per cell]



Here is a geometry-optimized RbBe2Sb structure from the Alexandria database. Energies are from PBEsol.

Properties
The value obtained for the total energy is -2.5560 eV per atom. For the theoretical density, the calculation gives 4.6 g/cm3.

Unit cell a=6.8759 b=6.8759 c=6.8759 alpha=90.00 beta=90.00 gamma=90.00
Space group Fm-3m (No. 225)
Inequivalent atoms, fractional coordinates:
Rb: 0.0000 0.0000 0.0000 [4 per cell]
Be: 0.2500 0.2500 0.2500 [8 per cell]
Sb: 0.0000 0.0000 0.5000 [4 per cell]



Here is a geometry-optimized Sc2MoPb structure from the Alexandria database. Energies are from PBEsol.

Properties
The value obtained for the total energy is -7.1429 eV per atom. For the theoretical density, the calculation gives 8.1 g/cm3.

Unit cell a=3.6160 b=3.6160 c=6.1557 alpha=90.00 beta=90.00 gamma=90.00
Space group P4mm (No. 99)
Inequivalent atoms, fractional coordinates:
Sc: 0.0000 0.0000 0.0000 [1 per cell]
Sc: 0.5000 0.5000 0.2711 [1 per cell]
Mo: 0.0000 0.0000 0.4841 [1 per cell]
Pb: 0.5000 0.5000 0.7378 [1 per cell]



Here is a geometry-optimized BaY2As structure from the Alexandria database. Energies are from PBEsol.

Properties
The value obtained for the total energy is -5.7302 eV per atom. For the theoretical density, the calculation gives 4.8 g/cm3.

Unit cell a=12.4140 b=3.8043 c=6.6762 alpha=90.00 beta=121.90 gamma=90.00
Space group Cm (No. 8)
Inequivalent atoms, fractional coordinates:
Ba: 0.0000 0.0000 0.0000 [2 per cell]
Y: 0.1634 0.0000 0.6536 [2 per cell]
Y: 0.3601 0.0000 0.3684 [2 per cell]
As: 0.2316 0.5000 0.0063 [2 per cell]